[1]
Below is a relaxed structure of CaVCuHO5, with properties calculated at the GGA-PBEsol level.

Cell: 5.746 7.320 9.345 Å, 90.00 90.00 90.00°
Positions (direct):
V 0.515 0.119 0.662
V 0.985 0.881 0.162
V 0.485 0.619 0.838
V 0.015 0.381 0.338
O 0.579 0.300 0.554
O 0.004 0.066 0.041
O 0.496 0.934 0.541
O 0.753 0.894 0.275
O 0.996 0.566 0.459
O 0.006 0.894 0.569
O 0.994 0.394 0.931
O 0.260 0.144 0.754
O 0.494 0.106 0.069
O 0.079 0.200 0.446
O 0.760 0.356 0.246
O 0.921 0.700 0.054
O 0.240 0.856 0.254
O 0.506 0.606 0.431
O 0.504 0.434 0.959
O 0.421 0.800 0.946
O 0.747 0.106 0.775
O 0.253 0.606 0.725
O 0.247 0.394 0.225
O 0.740 0.644 0.746
H 0.477 0.984 0.017
H 0.977 0.516 0.983
H 0.523 0.484 0.483
H 0.023 0.016 0.517
Cu 0.748 0.245 0.999
Cu 0.752 0.755 0.499
Cu 0.252 0.745 0.501
Cu 0.248 0.255 0.001
Ca 0.025 0.872 0.820
Ca 0.525 0.628 0.180
Ca 0.975 0.372 0.680
Ca 0.475 0.128 0.320

Calculated values
space-group type = P2_12_12_1

---

[2]
Below is a relaxed structure of BaSr2Au2, with properties calculated at the GGA-PBEsol level.

Cell: 4.529 8.411 8.411 Å, 90.00 90.00 90.00°
Positions (direct):
Sr 0.500 0.662 0.838
Sr 0.500 0.338 0.162
Sr 0.500 0.838 0.338
Sr 0.500 0.162 0.662
Au 0.000 0.376 0.876
Au 0.000 0.124 0.376
Au 0.000 0.624 0.124
Au 0.000 0.876 0.624
Ba 0.000 0.500 0.500
Ba 0.000 0.000 0.000

Calculated values
space-group type = P4/mbm
energy of formation from the pure elements = -0.566 eV per atom

---

[3]
Below is a relaxed structure of LiMg2Hg, with properties calculated at the GGA-PBEsol level.

Cell: 3.819 4.490 4.490 Å, 90.00 90.00 90.00°
Positions (direct):
Mg 0.000 0.000 0.500
Mg 0.000 0.500 0.000
Hg 0.500 0.500 0.500
Li 0.500 0.000 0.000

Calculated values
space-group type = P4/mmm
energy of formation from the pure elements = -0.263 eV per atom

---

[4]
Below is a relaxed structure of TlGaReC2, with properties calculated at the GGA-PBEsol level.

Cell: 3.914 3.914 5.264 Å, 90.00 90.00 90.00°
Positions (direct):
Re 0.500 0.500 0.500
C 0.000 0.500 0.000
C 0.500 0.000 0.000
Tl 0.000 0.000 0.500
Ga 0.000 0.000 0.000

Calculated values
space-group type = P4/mmm
energy of formation from the pure elements = 2.735 eV per atom

---

[5]
Below is a relaxed structure of Si2TcSb, with properties calculated at the GGA-PBEsol level.

Cell: 3.329 4.420 4.420 Å, 90.00 90.00 90.00°
Positions (direct):
Sb 0.500 0.000 0.000
Si 0.000 0.500 0.000
Si 0.000 0.000 0.500
Tc 0.500 0.500 0.500

Calculated values
ΔE_f (raw) = 0.52 eV per atom
space-group type = P4/mmm

---

[6]
Below is a relaxed structure of AuSeBr2Cl, with properties calculated at the GGA-PBEsol level.

Cell: 5.102 5.102 5.143 Å, 90.00 90.00 90.00°
Positions (direct):
Br 0.500 0.000 0.000
Br 0.000 0.500 0.000
Cl 0.500 0.500 0.500
Au 0.000 0.000 0.000
Se 0.000 0.000 0.500

Calculated values
ΔE_f (raw) = 0.43 eV per atom
space-group type = P4/mmm

---

[7]
Below is a relaxed structure of Al2AuBr, with properties calculated at the GGA-PBEsol level.

Cell: 3.847 3.847 6.252 Å, 107.92 107.92 90.00°
Positions (direct):
Al 0.750 0.250 0.500
Al 0.000 0.000 0.000
Au 0.500 0.500 0.000
Br 0.250 0.750 0.500

Calculated values
ΔE_f (raw) = 0.10 eV per atom
space-group type = I-4m2

---

[8]
Below is a relaxed structure of BaHfF6, with properties calculated at the GGA-PBEsol level.

Cell: 5.472 6.819 6.819 Å, 113.16 90.00 90.00°
Positions (direct):
Hf 0.000 0.250 0.250
Hf 0.000 0.750 0.750
F 0.248 0.818 0.567
F 0.752 0.318 0.067
F 0.154 0.067 0.933
F 0.752 0.933 0.682
F 0.248 0.682 0.933
F 0.846 0.933 0.067
F 0.248 0.067 0.318
F 0.846 0.567 0.433
F 0.248 0.433 0.182
F 0.752 0.567 0.818
F 0.752 0.182 0.433
F 0.154 0.433 0.567
Ba 0.562 0.750 0.250
Ba 0.438 0.250 0.750

Calculated values
ΔE_f (raw) = -3.92 eV per atom
space-group type = Cmme

---

[9]
Below is a relaxed structure of TiGeRu2Pt, with properties calculated at the GGA-PBEsol level.

Cell: 4.493 4.738 4.738 Å, 90.00 90.00 90.00°
Positions (direct):
Ru 0.000 0.500 0.000
Ru 0.000 0.000 0.500
Pt 0.000 0.000 0.000
Ti 0.500 0.500 0.500
Ge 0.500 0.000 0.000

Calculated values
space-group type = P4/mmm
energy of formation from the pure elements = 1.478 eV per atom

---

[10]
Below is a relaxed structure of Cd2OsPbC, with properties calculated at the GGA-PBEsol level.

Cell: 4.132 5.445 5.445 Å, 90.00 90.00 90.00°
Positions (direct):
Cd 0.000 0.000 0.500
Cd 0.000 0.500 0.000
C 0.500 0.000 0.000
Os 0.500 0.500 0.500
Pb 0.000 0.000 0.000

Calculated values
space-group type = P4/mmm
energy of formation from the pure elements = 2.657 eV per atom

---

[11]
Below is a relaxed structure of HfReSi, with properties calculated at the GGA-PBEsol level.

Cell: 3.361 6.903 6.903 Å, 120.00 90.00 90.00°
Positions (direct):
Si 0.500 0.000 0.000
Si 0.000 0.333 0.667
Si 0.000 0.667 0.333
Hf 0.500 0.000 0.597
Hf 0.500 0.403 0.403
Hf 0.500 0.597 0.000
Re 0.000 0.744 0.744
Re 0.000 0.000 0.256
Re 0.000 0.256 0.000

Calculated values
ΔE_f (raw) = -0.84 eV per atom
space-group type = P-62m

---

[12]
Below is a relaxed structure of SrLi3Tl, with properties calculated at the GGA-PBEsol level.

Cell: 5.154 5.154 5.154 Å, 90.00 90.00 90.00°
Positions (direct):
Tl 0.000 0.000 0.000
Li 0.000 0.500 0.000
Li 0.000 0.000 0.500
Li 0.500 0.000 0.000
Sr 0.500 0.500 0.500

Calculated values
space-group type = Pm-3m
energy of formation from the pure elements = -0.091 eV per atom

---

Values of raw total energy, in order: -7.075, -3.301, -1.755, -4.983, -6.310, -2.277, -3.390, -6.944, -6.636, -2.993, -10.701, -2.165, all in eV/atom.
Values of D(E_F), in order: 0.02, 3.28, 1.54, 3.07, 2.91, 6.58, 1.14, 0.00, 9.02, 5.10, 0.83, 2.21, all in states/eV/f.u..